A plane-wave DFT calculation with PBE was carried out for a relaxed structure of TlCd2Ni.

* M_tot: 0.00 μB/cell
* energy of formation from the pure elements: 0.29 eV/atom

Cell lengths 4.8338, 4.8338, 4.8338 Å; angles 60.00, 60.00, 60.00 degrees
With the nearest neighbours (Å) after each atom.
Positions (direct):
1 Tl 0.0000 0.0000 0.0000  4 Cd 2.96, 4 Ni 2.96
2 Cd 0.5000 0.5000 0.5000  4 Ni 2.96, 4 Cd 2.96
3 Cd 0.7500 0.7500 0.7500  4 Cd 2.96, 4 Tl 2.96
4 Ni 0.2500 0.2500 0.2500  4 Cd 2.96, 4 Tl 2.96

***

A plane-wave DFT calculation with PBE was carried out for a relaxed structure of Ca2Co17.

* M_tot: 26.62 μB/cell
* energy of formation from the pure elements: 0.03 eV/atom

Cell lengths 6.2850, 6.2850, 6.2850 Å; angles 83.02, 83.02, 83.02 degrees
With the nearest neighbours (Å) after each atom.
Positions (direct):
1 Ca 0.1545 0.1545 0.1545  19 Co 2.99-3.24
2 Ca 0.8455 0.8455 0.8455  19 Co 2.99-3.24
3 Co 0.0000 0.5000 0.5000  10 Co 2.37-2.55
4 Co 0.1568 0.1568 0.6487  9 Co 2.39-2.57
5 Co 0.1568 0.6487 0.1568  9 Co 2.39-2.57
6 Co 0.2121 0.5000 0.7879  8 Co 2.37-2.57
7 Co 0.2121 0.7879 0.5000  8 Co 2.37-2.57
8 Co 0.3513 0.8432 0.8432  9 Co 2.39-2.57
9 Co 0.4036 0.4036 0.4036  7 Co 2.34-2.57
10 Co 0.5000 0.0000 0.5000  10 Co 2.37-2.55
11 Co 0.5000 0.2121 0.7879  8 Co 2.37-2.57
12 Co 0.5000 0.5000 0.0000  10 Co 2.37-2.55
13 Co 0.5000 0.7879 0.2121  8 Co 2.37-2.57
14 Co 0.5964 0.5964 0.5964  7 Co 2.34-2.57
15 Co 0.6487 0.1568 0.1568  9 Co 2.39-2.57
16 Co 0.7879 0.2121 0.5000  8 Co 2.37-2.57
17 Co 0.7879 0.5000 0.2121  8 Co 2.37-2.57
18 Co 0.8432 0.3513 0.8432  9 Co 2.39-2.57
19 Co 0.8432 0.8432 0.3513  9 Co 2.39-2.57

***

A plane-wave DFT calculation with PBE was carried out for a relaxed structure of NiSb2Pt.

* raw formation energy: 0.0180 eV/atom
* M_tot: 0.00 μB/cell

Cell lengths 4.6437, 4.6437, 3.4929 Å; angles 90.00, 90.00, 90.00 degrees
With the nearest neighbours (Å) after each atom.
Positions (direct):
1 Ni 0.0000 0.0000 0.0000  8 Sb 2.91
2 Sb 0.0000 0.5000 0.5000  4 Ni 2.91, 4 Pt 2.91
3 Sb 0.5000 0.0000 0.5000  4 Ni 2.91, 4 Pt 2.91
4 Pt 0.5000 0.5000 0.0000  8 Sb 2.91

***

A plane-wave DFT calculation with PBE was carried out for a relaxed structure of Ta6MoW.

* M_tot: 0.00 μB/cell
* energy of formation from the pure elements: -0.08 eV/atom

Cell lengths 7.3996, 7.3996, 7.3996 Å; angles 143.74, 143.74, 52.21 degrees
With the nearest neighbours (Å) after each atom.
Positions (direct):
1 Ta 0.1201 0.6201 0.5000  2 W 2.80, 2 Mo 2.80, 4 Ta 2.87-2.89
2 Ta 0.2490 0.2490 0.0000  8 Ta 2.87-2.89
3 Ta 0.3799 0.8799 0.5000  2 Mo 2.80, 2 W 2.80, 4 Ta 2.87-2.89
4 Ta 0.6201 0.1201 0.5000  2 W 2.80, 2 Mo 2.80, 4 Ta 2.87-2.89
5 Ta 0.7510 0.7510 0.0000  8 Ta 2.87-2.89
6 Ta 0.8799 0.3799 0.5000  2 Mo 2.80, 2 W 2.80, 4 Ta 2.87-2.89
7 Mo 0.5000 0.5000 0.0000  8 Ta 2.80
8 W 0.0000 0.0000 0.0000  8 Ta 2.80

***

A plane-wave DFT calculation with PBE was carried out for a relaxed structure of KSrZnBr5.

* raw formation energy: -1.5612 eV/atom
* M_tot: 0.00 μB/cell

Cell lengths 8.0261, 8.0261, 10.7567 Å; angles 104.13, 104.13, 105.35 degrees
With the nearest neighbours (Å) after each atom.
Positions (direct):
1 K 0.1467 0.8533 0.7500  5 Br 3.23-3.42
2 K 0.8533 0.1467 0.2500  5 Br 3.23-3.42
3 Sr 0.5000 0.5000 0.0000  6 Br 2.98-3.12
4 Sr 0.5000 0.5000 0.5000  6 Br 2.98-3.12
5 Zn 0.1827 0.8173 0.2500  4 Br 2.44-2.46
6 Zn 0.8173 0.1827 0.7500  4 Br 2.44-2.46
7 Br 0.1015 0.2347 0.9300  1 Zn 2.46
8 Br 0.1588 0.5825 0.3591  1 Zn 2.44
9 Br 0.2347 0.1015 0.4300  1 Zn 2.46
10 Br 0.3995 0.6005 0.7500  2 Sr 2.98, 1 K 3.23
11 Br 0.4175 0.8412 0.1409  1 Zn 2.44
12 Br 0.5825 0.1588 0.8591  1 Zn 2.44
13 Br 0.6005 0.3995 0.2500  2 Sr 2.98, 1 K 3.23
14 Br 0.7653 0.8985 0.5700  1 Zn 2.46
15 Br 0.8412 0.4175 0.6409  1 Zn 2.44
16 Br 0.8985 0.7653 0.0700  1 Zn 2.46

***

A plane-wave DFT calculation with PBE was carried out for a relaxed structure of Mn2AlNi2Pt5.

* M_tot: 20.53 μB/cell
* energy of formation from the pure elements: -0.29 eV/atom

Cell lengths 8.8559, 8.8559, 3.8719 Å; angles 90.00, 90.00, 90.00 degrees
With the nearest neighbours (Å) after each atom.
Positions (direct):
1 Mn 0.1681 0.3319 0.0000  3 Ni 2.56-2.64, 2 Pt 2.86
2 Mn 0.3319 0.8319 0.0000  3 Ni 2.56-2.64, 2 Pt 2.86
3 Mn 0.6681 0.1681 0.0000  3 Ni 2.56-2.64, 2 Pt 2.86
4 Mn 0.8319 0.6681 0.0000  3 Ni 2.56-2.64, 2 Pt 2.86
5 Al 0.0000 0.0000 0.0000  8 Pt 2.71
6 Al 0.5000 0.5000 0.0000  8 Pt 2.71
7 Ni 0.1273 0.6273 0.0000  6 Pt 2.51-2.52, 3 Mn 2.56-2.64
8 Ni 0.3727 0.1273 0.0000  6 Pt 2.51-2.52, 3 Mn 2.56-2.64
9 Ni 0.6273 0.8727 0.0000  6 Pt 2.51-2.52, 3 Mn 2.56-2.64
10 Ni 0.8727 0.3727 0.0000  6 Pt 2.51-2.52, 3 Mn 2.56-2.64
11 Pt 0.0000 0.5000 0.5000  4 Ni 2.51, 4 Pt 2.77
12 Pt 0.0808 0.8026 0.5000  2 Ni 2.52, 4 Pt 2.67-2.78, 2 Al 2.71
13 Pt 0.1974 0.0808 0.5000  2 Ni 2.52, 4 Pt 2.67-2.78, 2 Al 2.71
14 Pt 0.3026 0.5808 0.5000  2 Ni 2.52, 4 Pt 2.67-2.78, 2 Al 2.71
15 Pt 0.4192 0.3026 0.5000  2 Ni 2.52, 4 Pt 2.67-2.78, 2 Al 2.71
16 Pt 0.5000 0.0000 0.5000  4 Ni 2.51, 4 Pt 2.77
17 Pt 0.5808 0.6974 0.5000  2 Ni 2.52, 4 Pt 2.67-2.78, 2 Al 2.71
18 Pt 0.6974 0.4192 0.5000  2 Ni 2.52, 4 Pt 2.67-2.78, 2 Al 2.71
19 Pt 0.8026 0.9192 0.5000  2 Ni 2.52, 4 Pt 2.67-2.78, 2 Al 2.71
20 Pt 0.9192 0.1974 0.5000  2 Ni 2.52, 4 Pt 2.67-2.78, 2 Al 2.71

***

A plane-wave DFT calculation with PBE was carried out for a relaxed structure of Cs17Rb2.

* M_tot: 0.00 μB/cell
* energy of formation from the pure elements: 0.05 eV/atom

Cell lengths 13.3062, 13.3062, 13.3062 Å; angles 80.53, 80.53, 80.53 degrees
With the nearest neighbours (Å) after each atom.
Positions (direct):
1 Cs 0.0000 0.0000 0.5000  10 Cs 5.09-5.29
2 Cs 0.0000 0.3048 0.6952  6 Cs 5.09-5.24
3 Cs 0.0000 0.5000 0.0000  10 Cs 5.09-5.29
4 Cs 0.0000 0.6952 0.3048  6 Cs 5.09-5.24
5 Cs 0.0985 0.0985 0.0985  13 Cs 5.23-5.86, 1 Rb 5.64
6 Cs 0.1552 0.6379 0.6379  6 Cs 4.95-5.09
7 Cs 0.3048 0.0000 0.6952  6 Cs 5.09-5.24
8 Cs 0.3048 0.6952 0.0000  6 Cs 5.09-5.24
9 Cs 0.3621 0.3621 0.8448  6 Cs 4.95-5.09
10 Cs 0.3621 0.8448 0.3621  6 Cs 4.95-5.09
11 Cs 0.5000 0.0000 0.0000  10 Cs 5.09-5.29
12 Cs 0.6379 0.1552 0.6379  6 Cs 4.95-5.09
13 Cs 0.6379 0.6379 0.1552  6 Cs 4.95-5.09
14 Cs 0.6952 0.0000 0.3048  6 Cs 5.09-5.24
15 Cs 0.6952 0.3048 0.0000  6 Cs 5.09-5.24
16 Cs 0.8448 0.3621 0.3621  6 Cs 4.95-5.09
17 Cs 0.9015 0.9015 0.9015  13 Cs 5.23-5.86, 1 Rb 5.64
18 Rb 0.3108 0.3108 0.3108  1 Cs 5.64
19 Rb 0.6892 0.6892 0.6892  1 Cs 5.64

***

A plane-wave DFT calculation with PBE was carried out for a relaxed structure of PmDy2Ho3Sb6.

* raw formation energy: -1.1302 eV/atom
* M_tot: 0.00 μB/cell

Cell lengths 9.8240, 9.8240, 8.7875 Å; angles 102.87, 102.87, 25.85 degrees
With the nearest neighbours (Å) after each atom.
Positions (direct):
1 Pm 0.0000 0.0000 0.0000  6 Sb 3.14-3.15
2 Dy 0.3327 0.3327 0.6666  6 Sb 3.10-3.11
3 Dy 0.6673 0.6673 0.3334  6 Sb 3.10-3.11
4 Ho 0.0000 0.0000 0.5000  6 Sb 3.07-3.10
5 Ho 0.3342 0.3342 0.1677  6 Sb 3.08-3.11
6 Ho 0.6658 0.6658 0.8323  6 Sb 3.08-3.11
7 Sb 0.1663 0.1663 0.5834  3 Ho 3.10, 3 Dy 3.10-3.11
8 Sb 0.1689 0.1689 0.0834  3 Ho 3.08-3.11, 2 Dy 3.11, 1 Pm 3.15
9 Sb 0.5003 0.5003 0.2558  3 Ho 3.07-3.10, 1 Dy 3.11, 2 Pm 3.14
10 Sb 0.4997 0.4997 0.7442  3 Ho 3.07-3.10, 1 Dy 3.11, 2 Pm 3.14
11 Sb 0.8311 0.8311 0.9166  3 Ho 3.08-3.11, 2 Dy 3.11, 1 Pm 3.15
12 Sb 0.8337 0.8337 0.4166  3 Ho 3.10, 3 Dy 3.10-3.11

***

A plane-wave DFT calculation with PBE was carried out for a relaxed structure of Pu2AlHg.

* M_tot: 11.55 μB/cell
* energy of formation from the pure elements: 0.04 eV/atom

Cell lengths 10.7046, 10.7046, 10.7046 Å; angles 17.48, 17.48, 17.48 degrees
With the nearest neighbours (Å) after each atom.
Positions (direct):
1 Pu 0.2461 0.2461 0.2461  3 Al 3.14, 6 Pu 3.25, 3 Hg 3.34
2 Pu 0.7539 0.7539 0.7539  3 Al 3.14, 6 Pu 3.25, 3 Hg 3.34
3 Al 0.5000 0.5000 0.5000  6 Pu 3.14, 6 Al 3.25
4 Hg 0.0000 0.0000 0.0000  6 Hg 3.25, 6 Pu 3.34

***

A plane-wave DFT calculation with PBE was carried out for a relaxed structure of KHgPt2.

* M_tot: 0.00 μB/cell
* energy of formation from the pure elements: 0.24 eV/atom

Cell lengths 10.1264, 10.1264, 10.1264 Å; angles 17.28, 17.28, 17.28 degrees
With the nearest neighbours (Å) after each atom.
Positions (direct):
1 K 0.0000 0.0000 0.0000  6 K 3.04, 6 Pt 3.24
2 Hg 0.5000 0.5000 0.5000  6 Pt 2.86, 6 Hg 3.04
3 Pt 0.2422 0.2422 0.2422  3 Hg 2.86, 6 Pt 3.04
4 Pt 0.7578 0.7578 0.7578  3 Hg 2.86, 6 Pt 3.04

***

A plane-wave DFT calculation with PBE was carried out for a relaxed structure of Nd2SmY3Te6.

* raw formation energy: -1.3630 eV/atom
* M_tot: 0.00 μB/cell

Cell lengths 9.9088, 9.9088, 8.9203 Å; angles 103.59, 103.59, 25.59 degrees
With the nearest neighbours (Å) after each atom.
Positions (direct):
1 Nd 0.1675 0.1675 0.3344  6 Te 3.17-3.19
2 Nd 0.8325 0.8325 0.6656  6 Te 3.17-3.19
3 Sm 0.5000 0.5000 0.0000  6 Te 3.14-3.16
4 Y 0.1680 0.1680 0.8334  6 Te 3.08-3.10
5 Y 0.5000 0.5000 0.5000  6 Te 3.07-3.10
6 Y 0.8320 0.8320 0.1666  6 Te 3.08-3.10
7 Te 0.0028 0.0028 0.7469  3 Y 3.10, 2 Sm 3.16, 1 Nd 3.19
8 Te 0.3324 0.3324 0.9239  3 Y 3.08, 1 Sm 3.14, 2 Nd 3.18
9 Te 0.3363 0.3363 0.4105  3 Y 3.07-3.08, 3 Nd 3.17
10 Te 0.6637 0.6637 0.5895  3 Y 3.07-3.08, 3 Nd 3.17
11 Te 0.6676 0.6676 0.0761  3 Y 3.08, 1 Sm 3.14, 2 Nd 3.18
12 Te 0.9972 0.9972 0.2531  3 Y 3.10, 2 Sm 3.16, 1 Nd 3.19